<1>
GGA-PBE ReGeSb2Te, relaxed; magnetic moment = 0.06 μB/atom; space-group type = P4/mmm, No. 123
1.0
5.077 0.000 0.000
0.000 5.077 0.000
0.000 0.000 5.615
Sb Re Ge Te
2 1 1 1
Direct
0.500 0.000 0.000
0.000 0.500 0.000
0.000 0.000 0.000
0.500 0.500 0.500
0.000 0.000 0.500

---

<2>
GGA-PBE ReGeSb2Te, relaxed; magnetic moment = 0.68 μB/atom; space-group type = P4/mmm, No. 123
1.0
-1.440 -2.627 -4.331
-1.047 -4.251 2.926
-4.933 1.653 0.637
Ge Te Sb Re
1 1 2 1
Direct
0.000 0.000 0.000
0.000 0.000 0.500
0.500 0.000 0.000
0.000 0.500 0.000
0.500 0.500 0.500

---

It is <2> that is the least stable of them.

---

<1>
GGA-PBE ScReGe2, relaxed; magnetic moment = 0.00 μB/atom; space-group type = I-42d, No. 122
1.0
-0.017 3.888 0.389
-3.861 0.043 -0.604
-3.400 1.032 9.169
Re Sc Ge
2 2 4
Direct
0.750 0.250 0.500
0.000 0.000 0.000
0.250 0.750 0.500
0.500 0.500 0.000
0.120 0.625 0.250
0.630 0.125 0.250
0.875 0.880 0.750
0.375 0.370 0.750

---

<2>
GGA-PBE ScReGe2, relaxed; magnetic moment = 0.00 μB/atom; space-group type = Pbam, No. 55
1.0
8.382 0.000 0.000
0.000 9.461 0.000
0.000 0.000 10.226
Ge Re Sc
24 12 12
Direct
0.347 0.174 0.820
0.500 0.534 0.120
0.000 0.042 0.382
0.347 0.826 0.180
0.500 0.635 0.412
0.500 0.034 0.380
0.653 0.826 0.180
0.000 0.358 0.599
0.000 0.542 0.118
0.653 0.174 0.820
0.653 0.674 0.680
0.500 0.966 0.620
0.000 0.458 0.882
0.500 0.865 0.912
0.000 0.142 0.099
0.000 0.858 0.901
0.347 0.674 0.680
0.347 0.326 0.320
0.000 0.958 0.618
0.500 0.135 0.088
0.000 0.642 0.401
0.500 0.365 0.588
0.653 0.326 0.320
0.500 0.466 0.880
0.751 0.921 0.748
0.249 0.579 0.248
0.249 0.921 0.748
0.249 0.079 0.252
0.751 0.079 0.252
0.751 0.421 0.752
0.758 0.000 0.000
0.242 0.000 0.000
0.242 0.500 0.500
0.751 0.579 0.248
0.758 0.500 0.500
0.249 0.421 0.752
0.756 0.830 0.452
0.000 0.835 0.178
0.756 0.330 0.048
0.756 0.670 0.952
0.000 0.335 0.322
0.244 0.830 0.452
0.244 0.330 0.048
0.244 0.670 0.952
0.000 0.165 0.822
0.000 0.665 0.678
0.244 0.170 0.548
0.756 0.170 0.548

---

It is <1> that is the least stable of them.

---

<1>
GGA-PBE ScReGe2, relaxed; magnetic moment = 0.00 μB/atom; space-group type = R-3m, No. 166
1.0
-3.499 0.028 2.381
-0.335 -2.628 3.300
0.517 2.172 4.496
Ge Re Sc
2 1 1
Direct
0.268 0.268 0.196
0.732 0.732 0.804
0.000 0.000 0.000
0.500 0.500 0.500

---

<2>
GGA-PBE ScReGe2, relaxed; magnetic moment = 0.00 μB/atom; space-group type = Fm-3m, No. 225
1.0
1.844 -4.019 0.838
-2.249 -3.764 -1.016
1.381 -2.597 -3.407
Ge Sc Re
2 1 1
Direct
0.250 0.250 0.250
0.750 0.750 0.750
0.000 0.000 0.000
0.500 0.500 0.500

---

It is <2> that is the least stable of them.

---

<1>
GGA-PBE Re2GeSe, relaxed; magnetic moment = 0.00 μB/atom; space-group type = I-42d, No. 122
1.0
-4.377 -3.614 0.530
3.186 -4.182 -2.206
1.077 -5.206 4.057
Re Se Ge
4 2 2
Direct
0.632 0.125 0.250
0.118 0.625 0.250
0.875 0.882 0.750
0.375 0.368 0.750
0.000 0.000 0.000
0.750 0.250 0.500
0.500 0.500 0.000
0.250 0.750 0.500

---

<2>
GGA-PBE Re2GeSe, relaxed; magnetic moment = 0.00 μB/atom; space-group type = Fm-3m, No. 225
1.0
0.000 3.102 3.102
3.102 0.000 3.102
3.102 3.102 0.000
Re Se Ge
2 1 1
Direct
0.250 0.250 0.250
0.750 0.750 0.750
0.500 0.500 0.500
0.000 0.000 0.000

---

It is <1> that is the least stable of them.

---

<1>
GGA-PBE ReGe3Se, relaxed; magnetic moment = 0.14 μB/atom; space-group type = Pm-3m, No. 221
1.0
4.852 0.000 0.000
0.000 4.852 0.000
0.000 0.000 4.852
Ge Re Se
3 1 1
Direct
0.500 0.000 0.000
0.000 0.000 0.500
0.000 0.500 0.000
0.000 0.000 0.000
0.500 0.500 0.500

---

<2>
GGA-PBE ReGe3Se, relaxed; magnetic moment = 0.55 μB/atom; space-group type = Pm-3m, No. 221
1.0
-4.189 1.761 -1.846
0.076 -3.462 -3.473
-2.550 -2.995 2.930
Ge Re Se
3 1 1
Direct
0.000 0.000 0.500
0.000 0.500 0.000
0.500 0.000 0.000
0.500 0.500 0.500
0.000 0.000 0.000

---

It is <2> that is the least stable of them.

---

<1>
GGA-PBE TaRe3Ge, relaxed; magnetic moment = 0.54 μB/atom; space-group type = Pm-3m, No. 221
1.0
4.810 0.000 0.000
0.000 4.810 0.000
0.000 0.000 4.810
Ta Re Ge
1 3 1
Direct
0.000 0.000 0.000
0.000 0.000 0.500
0.500 0.000 0.000
0.000 0.500 0.000
0.500 0.500 0.500

---

<2>
GGA-PBE TaRe3Ge, relaxed; magnetic moment = 0.00 μB/atom; space-group type = Pm-3m, No. 221
1.0
4.489 0.000 0.000
0.000 4.489 0.000
0.000 0.000 4.489
Re Ge Ta
3 1 1
Direct
0.500 0.000 0.000
0.000 0.000 0.500
0.000 0.500 0.000
0.000 0.000 0.000
0.500 0.500 0.500

---

It is <1> that is the least stable of them.